DFT (PBE-GGA) results for a relaxed RbNbAl2Br crystal.

Cell: 5.7035 5.7035 4.9799 Å, 90.00 90.00 90.00°
Last column: nearest neighbours and their distance in Å.
Positions (direct):
Rb (0.0000, 0.0000, 0.0000)  8 Al 3.79, 4 Nb 4.03
Nb (0.5000, 0.5000, 0.0000)  2 Br 2.49
Al (0.0000, 0.5000, 0.5000)  2 Br 2.85
Al (0.5000, 0.0000, 0.5000)  2 Br 2.85
Br (0.5000, 0.5000, 0.5000)  2 Nb 2.49

Summary:
Space-group type: P4/mmm (123)
Calculated volume (Å³ per cell): 162.0
Calculated total energy (eV per atom): -3.028
Uncorrected formation energy (eV per atom): 1.01